{
  "formula": "Zn2CoF",
  "functional": "PBE+U",
  "state": "relaxed",
  "lattice": [[0.000, 3.066, 3.066], [3.066, 0.000, 3.066], [3.066, 3.066, 0.000]],
  "species": ["Zn", "Zn", "F", "Co"],
  "frac_coords": [[0.750, 0.750, 0.750], [0.250, 0.250, 0.250], [0.000, 0.000, 0.000], [0.500, 0.500, 0.500]],
  "total_magnetization_mub_per_fu": 2.20,
  "polymorph_energy_mev_per_atom": 208,
  "total_energy_ev_per_atom": -2.517,
  "spacegroup": "Fm-3m",
  "dos_ef_per_ev_cell": 1.4
}